# YCo2C (PBE, relaxed)
# - Energy of formation from the pure elements: 16 kJ/mol of formula units
# - V: 12.810 Å³ per atom
# - Symmetry: No. 63
data_YCo2C
_space_group_name_H-M_alt 'P 1'
_space_group_IT_number 1
_space_group_name_Hall 'P 1'
_cell_length_a 5.136
_cell_length_b 5.136
_cell_length_c 6.476
_cell_angle_alpha 90.00
_cell_angle_beta 90.00
_cell_angle_gamma 143.13
loop_
_atom_site_label
_atom_site_type_symbol
_atom_site_fract_x
_atom_site_fract_y
_atom_site_fract_z
_atom_site_occupancy
Y1 Y 0.050 0.950 0.750 1
Y2 Y 0.950 0.050 0.250 1
Co1 Co 0.322 0.678 0.574 1
Co2 Co 0.322 0.678 0.926 1
Co3 Co 0.678 0.322 0.074 1
Co4 Co 0.678 0.322 0.426 1
C1 C 0.222 0.778 0.250 1
C2 C 0.778 0.222 0.750 1